Here is crystalline BeFe2SiH at its relaxed geometry from the Alexandria database. Energies are from PBE.

Output
Final energy ... -6.10 eV/atom
Space-group type ... P4/mmm, No. 123

Structure (POSCAR):
```
BeFe2SiH
1.0
3.7355 0.0000 0.0000
0.0000 3.7355 0.0000
0.0000 0.0000 2.9371
Be Fe Si H
1 2 1 1
Direct
0.0000 0.0000 0.0000
0.0000 0.5000 0.5000
0.5000 0.0000 0.5000
0.5000 0.5000 0.0000
0.0000 0.0000 0.5000
```